# 1
K2CdO: relaxed, PBE.

Lattice parameters (Å, degrees): 8.3432 8.3432 7.0755 53.87 53.87 90.00
With the nearest neighbours (Å) after each atom.
Sites, in units of the cell vectors:
Cd (0.7500, 0.2500, 0.5000)  8 K 3.75-3.87, 2 O 3.91
O (0.2500, 0.7500, 0.5000)  4 K 2.54
Cd (0.0000, 0.0000, 0.0000)  8 K 3.75-3.87, 2 O 3.91
K (0.5028, 0.1250, 0.2500)  2 O 2.54
K (0.3750, 0.4972, 0.7500)  2 O 2.54
O (0.5000, 0.5000, 0.0000)  4 K 2.54
K (0.8750, 0.7528, 0.7500)  2 O 2.54
K (0.2472, 0.6250, 0.2500)  2 O 2.54

SG = I-42d (122)
Formation energy without anion corrections = -512 meV per atom
ρ = 2.5 g/cm³
DOS at the Fermi energy = 0.00 states/eV/f.u.
Crystal system = tetragonal



# 2
LuScAlNi: relaxed, PBE.

Lattice parameters (Å, degrees): 4.7633 4.7633 4.7633 60.00 60.00 60.00
With the nearest neighbours (Å) after each atom.
Sites, in units of the cell vectors:
Sc (0.5000, 0.5000, 0.5000)  4 Al 2.92, 4 Ni 2.92
Ni (0.2500, 0.2500, 0.2500)  4 Sc 2.92, 4 Lu 2.92
Al (0.7500, 0.7500, 0.7500)  4 Lu 2.92, 4 Sc 2.92
Lu (0.0000, 0.0000, 0.0000)  4 Ni 2.92, 4 Al 2.92

SG = F-43m (216)
ρ = 6.6 g/cm³
DOS at the Fermi energy = 3.57 states/eV/f.u.
Energy of formation = -0.3802 eV/atom
Crystal system = cubic



# 3
SrSi2NiIr: relaxed, PBE.

Lattice parameters (Å, degrees): 4.0997 4.0997 5.9853 110.03 110.03 90.00
With the nearest neighbours (Å) after each atom.
Sites, in units of the cell vectors:
Ni (0.2500, 0.7500, 0.5000)  4 Si 2.38
Si (0.6341, 0.6341, 0.2683)  2 Ni 2.38, 2 Ir 2.38
Ir (0.7500, 0.2500, 0.5000)  4 Si 2.38
Sr (0.0000, 0.0000, 0.0000)  8 Si 3.22, 4 Ir 3.33, 4 Ni 3.33
Si (0.3659, 0.3659, 0.7317)  2 Ni 2.38, 2 Ir 2.38

SG = I-4m2 (119)
Formation energy without anion corrections = -682 meV per atom
ρ = 7.4 g/cm³
DOS at the Fermi energy = 4.08 states/eV/f.u.
Crystal system = tetragonal